[1]
A plane-wave DFT calculation with PBE was carried out for a relaxed Co3RhW crystal.

Cell lengths 4.372, 4.372, 4.372 Å; angles 90.00, 90.00, 90.00 degrees
Element x y z (fractional)
1 Co 0.000 0.000 0.500
2 Co 0.000 0.500 0.000
3 Co 0.500 0.000 0.000
4 Rh 0.500 0.500 0.500
5 W 0.000 0.000 0.000

Properties
Space-group type: Pm-3m
Energy above the lowest structure with this stoichiometry: 0.000 eV/atom
Magnetic moment: 2.469 μB per formula unit


[2]
A plane-wave DFT calculation with PBE was carried out for a relaxed CoRhW2 crystal.

Cell lengths 2.735, 2.735, 7.654 Å; angles 90.00, 90.00, 90.00 degrees
Element x y z (fractional)
1 Co 0.000 0.000 0.000
2 Rh 0.500 0.500 0.239
3 W 0.000 0.000 0.488
4 W 0.500 0.500 0.776

Properties
Space-group type: P4mm
Energy above the lowest structure with this stoichiometry: 0.099 eV/atom
Magnetic moment: 0.383 μB per formula unit


[3]
A plane-wave DFT calculation with PBE was carried out for a relaxed CoRh4W crystal.

Cell lengths 5.021, 5.021, 5.021 Å; angles 60.00, 60.00, 60.00 degrees
Element x y z (fractional)
1 Co 0.000 0.000 0.000
2 Rh 0.124 0.625 0.625
3 Rh 0.625 0.124 0.625
4 Rh 0.625 0.625 0.124
5 Rh 0.625 0.625 0.625
6 W 0.250 0.250 0.250

Properties
Space-group type: F-43m
Energy above the lowest structure with this stoichiometry: 0.110 eV/atom
Magnetic moment: 1.953 μB per formula unit


[4]
A plane-wave DFT calculation with PBE was carried out for a relaxed CoRhW3 crystal.

Cell lengths 4.412, 4.412, 4.412 Å; angles 90.00, 90.00, 90.00 degrees
Element x y z (fractional)
1 Co 0.000 0.000 0.000
2 Rh 0.500 0.500 0.500
3 W 0.000 0.000 0.500
4 W 0.000 0.500 0.000
5 W 0.500 0.000 0.000

Properties
Space-group type: Pm-3m
Energy above the lowest structure with this stoichiometry: 0.000 eV/atom
Magnetic moment: 0.000 μB per formula unit


[5]
A plane-wave DFT calculation with PBE was carried out for a relaxed Co2RhW2 crystal.

Cell lengths 6.904, 6.904, 2.829 Å; angles 90.00, 90.00, 90.00 degrees
Element x y z (fractional)
1 Co 0.124 0.376 0.000
2 Co 0.376 0.876 0.000
3 Co 0.624 0.124 0.000
4 Co 0.876 0.624 0.000
5 Rh 0.000 0.000 0.000
6 Rh 0.500 0.500 0.000
7 W 0.174 0.674 0.500
8 W 0.326 0.174 0.500
9 W 0.674 0.826 0.500
10 W 0.826 0.326 0.500

Properties
Space-group type: P4/mbm
Energy: -9.478 eV/atom
Magnetic moment: 0.000 μB per formula unit


[6]
A plane-wave DFT calculation with PBE was carried out for a relaxed CoRhW4 crystal.

Cell lengths 5.178, 5.178, 5.178 Å; angles 60.00, 60.00, 60.00 degrees
Element x y z (fractional)
1 Co 0.000 0.000 0.000
2 Rh 0.750 0.750 0.750
3 W 0.374 0.374 0.374
4 W 0.374 0.374 0.877
5 W 0.374 0.877 0.374
6 W 0.877 0.374 0.374

Properties
Space-group type: F-43m
Energy: -10.467 eV/atom
Magnetic moment: 1.220 μB per formula unit


[7]
A plane-wave DFT calculation with PBE was carried out for a relaxed CoRhW2 crystal.

Cell lengths 8.922, 8.922, 8.922 Å; angles 17.75, 17.75, 17.75 degrees
Element x y z (fractional)
1 Co 0.000 0.000 0.000
2 Rh 0.500 0.500 0.500
3 W 0.253 0.253 0.253
4 W 0.747 0.747 0.747

Properties
Space-group type: R-3m
Energy above the lowest structure with this stoichiometry: 0.195 eV/atom
Magnetic moment: 0.051 μB per formula unit


[8]
A plane-wave DFT calculation with PBE was carried out for a relaxed CoRhW crystal.

Cell lengths 4.211, 4.211, 2.686 Å; angles 90.00, 90.00, 120.00 degrees
Element x y z (fractional)
1 Co 0.000 0.000 0.000
2 Rh 0.667 0.333 0.455
3 W 0.333 0.667 0.909

Properties
Space-group type: P3m1
Energy above the lowest structure with this stoichiometry: 0.102 eV/atom
Magnetic moment: 0.279 μB per formula unit


[9]
A plane-wave DFT calculation with PBE was carried out for a relaxed CoRhW2 crystal.

Cell lengths 4.718, 4.718, 4.719 Å; angles 100.01, 100.01, 34.04 degrees
Element x y z (fractional)
1 Co 0.000 0.000 0.000
2 Rh 0.500 0.500 0.500
3 W 0.252 0.252 0.755
4 W 0.748 0.748 0.245

Properties
Space-group type: C2/m
Energy above the lowest structure with this stoichiometry: 0.191 eV/atom
Magnetic moment: 0.817 μB per formula unit


[10]
A plane-wave DFT calculation with PBE was carried out for a relaxed CoRhW2 crystal.

Cell lengths 4.649, 4.649, 4.773 Å; angles 99.75, 99.75, 34.33 degrees
Element x y z (fractional)
1 Co 0.000 0.000 0.000
2 Rh 0.252 0.252 0.718
3 W 0.500 0.500 0.499
4 W 0.741 0.741 0.190

Properties
Space-group type: Cm
Energy above the lowest structure with this stoichiometry: 0.082 eV/atom
Magnetic moment: 0.001 μB per formula unit


[11]
A plane-wave DFT calculation with PBE was carried out for a relaxed CoRhW crystal.

Cell lengths 5.849, 5.849, 5.849 Å; angles 153.16, 153.16, 38.32 degrees
Element x y z (fractional)
1 Co 0.000 0.000 0.000
2 Rh 0.335 0.335 0.000
3 W 0.658 0.658 0.000

Properties
Space-group type: I4mm
Energy above the lowest structure with this stoichiometry: 0.048 eV/atom
Magnetic moment: 0.000 μB per formula unit


[12]
A plane-wave DFT calculation with PBE was carried out for a relaxed CoRhW crystal.

Cell lengths 4.082, 4.082, 4.082 Å; angles 60.00, 60.00, 60.00 degrees
Element x y z (fractional)
1 Co 0.000 0.000 0.000
2 Rh 0.500 0.500 0.500
3 W 0.750 0.750 0.750

Properties
Space-group type: F-43m
Energy above the lowest structure with this stoichiometry: 0.457 eV/atom
Magnetic moment: 0.000 μB per formula unit


[13]
A plane-wave DFT calculation with PBE was carried out for a relaxed Co4RhW crystal.

Cell lengths 4.678, 4.678, 4.678 Å; angles 60.00, 60.00, 60.00 degrees
Element x y z (fractional)
1 Co 0.125 0.125 0.125
2 Co 0.125 0.125 0.624
3 Co 0.125 0.624 0.125
4 Co 0.624 0.125 0.125
5 Rh 0.500 0.500 0.500
6 W 0.750 0.750 0.750

Properties
Space-group type: F-43m
Energy: -8.113 eV/atom
Magnetic moment: 5.154 μB per formula unit


[14]
A plane-wave DFT calculation with PBE was carried out for a relaxed CoRhW2 crystal.

Cell lengths 2.735, 4.371, 4.748 Å; angles 90.00, 90.00, 90.00 degrees
Element x y z (fractional)
1 Co 0.000 0.000 0.000
2 Rh 0.000 0.500 0.648
3 W 0.500 0.000 0.487
4 W 0.500 0.500 0.134

Properties
Space-group type: Pmm2
Energy above the lowest structure with this stoichiometry: 0.030 eV/atom
Magnetic moment: 0.000 μB per formula unit